(1)
Below is Er6Tl6Bi after structural relaxation, with properties calculated at the PBE level.

Calculated values
- Energy of formation from the pure elements: -198 meV per atom

abc: 6.493 6.493 10.255
angles: 90.00 90.00 120.00
Positions (direct):
Er: 0.000 0.000 0.191
Er: 0.000 0.000 0.809
Er: 0.333 0.667 0.000
Er: 0.333 0.667 0.500
Er: 0.667 0.333 0.000
Er: 0.667 0.333 0.500
Tl: 0.000 0.500 0.249
Tl: 0.000 0.500 0.751
Tl: 0.500 0.000 0.249
Tl: 0.500 0.000 0.751
Tl: 0.500 0.500 0.249
Tl: 0.500 0.500 0.751
Bi: 0.000 0.000 0.500

***

(2)
Below is Er6TlBi2 after structural relaxation, with properties calculated at the PBE level.

Calculated values
- Energy of formation from the pure elements: -418 meV per atom

abc: 8.387 8.387 4.308
angles: 90.00 90.00 120.00
Positions (direct):
Er: 0.000 0.255 0.000
Er: 0.000 0.600 0.500
Er: 0.255 0.000 0.000
Er: 0.400 0.400 0.500
Er: 0.600 0.000 0.500
Er: 0.745 0.745 0.000
Tl: 0.000 0.000 0.500
Bi: 0.333 0.667 0.000
Bi: 0.667 0.333 0.000

***

(3)
Below is Er4TlBi2 after structural relaxation, with properties calculated at the PBE level.

Calculated values
- Energy of formation from the pure elements: -371 meV per atom

abc: 6.071 6.661 10.450
angles: 90.00 102.29 90.00
Positions (direct):
Er: 0.001 0.250 0.337
Er: 0.137 0.250 0.952
Er: 0.454 0.503 0.238
Er: 0.454 0.997 0.238
Er: 0.546 0.003 0.762
Er: 0.546 0.497 0.762
Er: 0.863 0.750 0.048
Er: 0.999 0.750 0.663
Tl: 0.071 0.250 0.660
Tl: 0.929 0.750 0.340
Bi: 0.312 0.750 0.960
Bi: 0.439 0.750 0.502
Bi: 0.561 0.250 0.498
Bi: 0.688 0.250 0.040

***

(4)
Below is Er7Tl4Bi after structural relaxation, with properties calculated at the PBE level.

Calculated values
- Energy of formation from the pure elements: -112 meV per atom

abc: 7.738 7.738 11.179
angles: 124.23 124.23 43.52
Positions (direct):
Er: 0.000 0.000 0.000
Er: 0.152 0.152 0.579
Er: 0.287 0.287 0.130
Er: 0.427 0.427 0.682
Er: 0.573 0.573 0.318
Er: 0.713 0.713 0.870
Er: 0.848 0.848 0.421
Tl: 0.071 0.071 0.776
Tl: 0.214 0.214 0.342
Tl: 0.786 0.786 0.658
Tl: 0.929 0.929 0.224
Bi: 0.500 0.500 0.000

***

(5)
Below is Er4TlBi after structural relaxation, with properties calculated at the PBE level.

Calculated values
- Energy of formation from the pure elements: -323 meV per atom

abc: 7.852 7.852 6.610
angles: 99.61 99.61 113.60
Positions (direct):
Er: 0.101 0.714 0.943
Er: 0.205 0.400 0.591
Er: 0.286 0.899 0.557
Er: 0.400 0.205 0.091
Er: 0.600 0.795 0.909
Er: 0.714 0.101 0.443
Er: 0.795 0.600 0.409
Er: 0.899 0.286 0.057
Tl: 0.008 0.992 0.250
Tl: 0.992 0.008 0.750
Bi: 0.389 0.611 0.250
Bi: 0.611 0.389 0.750

***

(6)
Below is ErTlBi2 after structural relaxation, with properties calculated at the PBE level.

Calculated values
- Energy relative to the lowest polymorph listed for this composition: 0.00 eV/f.u.
- Energy of formation from the pure elements: -350 meV per atom

abc: 4.186 4.186 6.894
angles: 90.00 90.00 90.00
Positions (direct):
Er: 0.000 0.000 0.000
Tl: 0.000 0.000 0.500
Bi: 0.500 0.500 0.230
Bi: 0.500 0.500 0.770

***

Number 1: calculated volume 374 Å³/f.u., total moment 0.0 μB/cell. Number 2: calculated volume 262 Å³/f.u., total moment 2.6 μB/cell. Number 3: calculated volume 206 Å³/f.u., total moment 0.0 μB/cell. Number 4: calculated volume 367 Å³/f.u., total moment 0.9 μB/cell. Number 5: calculated volume 178 Å³/f.u., total moment 0.0 μB/cell. Number 6: calculated volume 121 Å³/f.u., total moment 0.0 μB/cell.